# 1
SrTl3Bi: optimized geometry, PBE-GGA.

SG = I-4m2, No. 119
calculated formation energy = 0.01 eV per atom
relative energy among the computed polymorphs = 0.0 meV/atom

Cell: 13.1547 13.1547 13.1547 Å, 154.08 154.08 36.98°
With the nearest neighbours (Å) after each atom.
Element x y z (fractional)
Sr 0.1858 0.1858 0.0000  2 Bi 3.36, 4 Tl 3.68
Sr 0.8142 0.8142 0.0000  2 Bi 3.36, 4 Tl 3.68
Tl 0.3673 0.6198 0.7475  2 Tl 2.92-2.98
Tl 0.3802 0.1278 0.7475  2 Tl 2.92-2.98
Tl 0.3802 0.6327 0.2525  2 Tl 2.92-2.98
Tl 0.5668 0.0668 0.5000  2 Bi 3.39, 4 Tl 3.56
Tl 0.8722 0.6198 0.2525  2 Tl 2.92-2.98
Tl 0.9332 0.4332 0.5000  2 Bi 3.39, 4 Tl 3.56
Bi 0.2500 0.7500 0.5000  4 Sr 3.36, 4 Tl 3.56
Bi 0.5000 0.5000 0.0000  8 Tl 3.34-3.39

***

# 2
SrTlBi: optimized geometry, PBE-GGA.

SG = I4/mmm, No. 139
calculated formation energy = -0.52 eV per atom
relative energy among the computed polymorphs = 0.0 meV/atom

Cell: 9.6964 9.6964 9.6964 Å, 150.94 150.94 41.56°
With the nearest neighbours (Å) after each atom.
Element x y z (fractional)
Sr 0.1661 0.1661 0.0000  5 Bi 3.47, 4 Tl 3.87
Sr 0.8339 0.8339 0.0000  5 Bi 3.47, 4 Tl 3.87
Tl 0.0000 0.5000 0.5000  4 Tl 3.44, 4 Bi 3.55
Tl 0.5000 0.0000 0.5000  4 Tl 3.44, 4 Bi 3.55
Bi 0.3574 0.3574 0.0000  5 Sr 3.47, 4 Tl 3.55
Bi 0.6426 0.6426 0.0000  5 Sr 3.47, 4 Tl 3.55

***

# 3
Sr4Tl5Bi6: optimized geometry, PBE-GGA.

SG = Cmc2_1, No. 36
calculated formation energy = -0.41 eV per atom

Cell: 13.0531 13.0531 17.7146 Å, 90.00 90.00 158.70°
With the nearest neighbours (Å) after each atom.
Element x y z (fractional)
Sr 0.9996 0.0004 0.0000  7 Bi 3.59-3.75
Sr 0.0004 0.9996 0.5000  7 Bi 3.59-3.75
Sr 0.0401 0.9599 0.7577  6 Bi 3.46-3.80, 2 Tl 3.59
Sr 0.1363 0.8637 0.3059  6 Bi 3.36-3.65
Sr 0.1625 0.8375 0.9440  6 Bi 3.36-3.53
Sr 0.8375 0.1625 0.4440  6 Bi 3.36-3.53
Sr 0.8637 0.1363 0.8059  6 Bi 3.36-3.65
Sr 0.9599 0.0401 0.2577  6 Bi 3.46-3.80, 2 Tl 3.59
Tl 0.1659 0.8341 0.6139  5 Tl 3.40-3.53, 3 Bi 3.47-3.60
Tl 0.2982 0.7018 0.6224  4 Bi 3.32-3.61, 1 Tl 3.40
Tl 0.3284 0.6716 0.2548  4 Bi 3.32-3.61, 2 Tl 3.47
Tl 0.3479 0.6521 0.9701  4 Bi 3.28-3.34, 2 Tl 3.53
Tl 0.4524 0.5476 0.6772  4 Bi 3.11-3.33
Tl 0.5476 0.4524 0.1772  4 Bi 3.11-3.33
Tl 0.6521 0.3479 0.4701  4 Bi 3.28-3.34, 2 Tl 3.53
Tl 0.6716 0.3284 0.7548  4 Bi 3.32-3.61, 2 Tl 3.47
Tl 0.7018 0.2982 0.1224  4 Bi 3.32-3.61, 1 Tl 3.40
Tl 0.8341 0.1659 0.1139  5 Tl 3.40-3.53, 3 Bi 3.47-3.60
Bi 0.1128 0.8872 0.1194  4 Tl 3.11-3.32, 2 Sr 3.36
Bi 0.2370 0.7630 0.4386  4 Tl 3.30-3.61, 2 Bi 3.43, 3 Sr 3.49-3.53
Bi 0.2569 0.7431 0.8013  3 Tl 3.34-3.36, 2 Bi 3.43, 3 Sr 3.50-3.65
Bi 0.4208 0.5792 0.3856  1 Bi 3.25, 1 Tl 3.32, 4 Sr 3.38-3.46
Bi 0.4311 0.5689 0.1154  4 Tl 3.18-3.47
Bi 0.4534 0.5466 0.8654  1 Bi 3.25, 2 Tl 3.28-3.33, 4 Sr 3.50-3.59
Bi 0.5466 0.4534 0.3654  1 Bi 3.25, 2 Tl 3.28-3.33, 4 Sr 3.50-3.59
Bi 0.5689 0.4311 0.6154  4 Tl 3.18-3.47
Bi 0.5792 0.4208 0.8856  1 Bi 3.25, 1 Tl 3.32, 4 Sr 3.38-3.46
Bi 0.7431 0.2569 0.3013  3 Tl 3.34-3.36, 2 Bi 3.43, 3 Sr 3.50-3.65
Bi 0.7630 0.2370 0.9386  4 Tl 3.30-3.61, 2 Bi 3.43, 3 Sr 3.49-3.53
Bi 0.8872 0.1128 0.6194  4 Tl 3.11-3.32, 2 Sr 3.36

***

# 4
Sr8Tl2Bi: optimized geometry, PBE-GGA.

SG = Immm, No. 71
calculated formation energy = -0.28 eV per atom

Cell: 10.0530 10.0530 10.0530 Å, 147.13 124.35 66.16°
With the nearest neighbours (Å) after each atom.
Element x y z (fractional)
Sr 0.1219 0.3389 0.7830  3 Tl 3.54-3.64, 1 Bi 3.80, 5 Sr 3.87-3.94
Sr 0.1437 0.1437 0.0000  2 Bi 3.73, 8 Sr 3.82-3.90, 2 Tl 3.98
Sr 0.3149 0.0000 0.3149  3 Sr 3.47-3.82, 2 Tl 3.66
Sr 0.4440 0.6611 0.7830  3 Tl 3.54-3.64, 1 Bi 3.80, 5 Sr 3.87-3.94
Sr 0.5560 0.3389 0.2170  3 Tl 3.54-3.64, 1 Bi 3.80, 5 Sr 3.87-3.94
Sr 0.6851 0.0000 0.6851  3 Sr 3.47-3.82, 2 Tl 3.66
Sr 0.8563 0.8563 0.0000  2 Bi 3.73, 8 Sr 3.82-3.90, 2 Tl 3.98
Sr 0.8781 0.6611 0.2170  3 Tl 3.54-3.64, 1 Bi 3.80, 5 Sr 3.87-3.94
Tl 0.3086 0.8086 0.5000  8 Sr 3.54-3.66
Tl 0.6914 0.1914 0.5000  8 Sr 3.54-3.66
Bi 0.0000 0.5000 0.5000  12 Sr 3.73-4.10

***

# 5
Sr2Tl8Bi: optimized geometry, PBE-GGA.

SG = C2/m, No. 12
calculated formation energy = -0.08 eV per atom

Cell: 8.7978 8.7978 6.0898 Å, 107.83 107.83 66.74°
With the nearest neighbours (Å) after each atom.
Element x y z (fractional)
Sr 0.1450 0.1450 0.0707  1 Bi 3.34, 5 Tl 3.41-3.45
Sr 0.8550 0.8550 0.9293  1 Bi 3.34, 5 Tl 3.41-3.45
Tl 0.2162 0.6507 0.7006  4 Tl 3.22-3.45, 1 Bi 3.29, 1 Sr 3.45
Tl 0.2614 0.2614 0.6702  3 Tl 3.24-3.36, 2 Sr 3.42-3.45, 1 Bi 3.59
Tl 0.3493 0.7838 0.2994  4 Tl 3.22-3.45, 1 Bi 3.29, 1 Sr 3.45
Tl 0.3940 0.3940 0.2519  6 Tl 3.22-3.46, 1 Sr 3.41
Tl 0.6060 0.6060 0.7481  6 Tl 3.22-3.46, 1 Sr 3.41
Tl 0.6507 0.2162 0.7006  4 Tl 3.22-3.45, 1 Bi 3.29, 1 Sr 3.45
Tl 0.7386 0.7386 0.3298  3 Tl 3.24-3.36, 2 Sr 3.42-3.45, 1 Bi 3.59
Tl 0.7838 0.3493 0.2994  4 Tl 3.22-3.45, 1 Bi 3.29, 1 Sr 3.45
Bi 0.0000 0.0000 0.5000  6 Tl 3.29-3.59, 2 Sr 3.34

***

# 6
SrTlBi: optimized geometry, PBE-GGA.

SG = Pnma, No. 62
calculated formation energy = -0.49 eV per atom
relative energy among the computed polymorphs = 32.8 meV/atom

Cell: 9.7171 6.8465 6.7129 Å, 90.00 90.00 90.00°
With the nearest neighbours (Å) after each atom.
Element x y z (fractional)
Sr 0.1740 0.2500 0.0626  2 Tl 3.41-3.48, 5 Bi 3.43-3.80
Sr 0.3260 0.7500 0.5626  2 Tl 3.41-3.48, 5 Bi 3.43-3.80
Sr 0.6740 0.2500 0.4374  2 Tl 3.41-3.48, 5 Bi 3.43-3.80
Sr 0.8260 0.7500 0.9374  2 Tl 3.41-3.48, 5 Bi 3.43-3.80
Tl 0.0192 0.2500 0.5295  2 Bi 3.07-3.18, 1 Sr 3.41
Tl 0.4808 0.7500 0.0295  2 Bi 3.07-3.18, 1 Sr 3.41
Tl 0.5192 0.2500 0.9705  2 Bi 3.07-3.18, 1 Sr 3.41
Tl 0.9808 0.7500 0.4705  2 Bi 3.07-3.18, 1 Sr 3.41
Bi 0.1662 0.7500 0.0794  2 Tl 3.07-3.18, 3 Sr 3.43-3.44
Bi 0.3338 0.2500 0.5794  2 Tl 3.07-3.18, 3 Sr 3.43-3.44
Bi 0.6662 0.7500 0.4206  2 Tl 3.07-3.18, 3 Sr 3.43-3.44
Bi 0.8338 0.2500 0.9206  2 Tl 3.07-3.18, 3 Sr 3.43-3.44

***

# 7
SrTl3Bi: optimized geometry, PBE-GGA.

SG = Pm-3m, No. 221
calculated formation energy = 0.20 eV per atom
relative energy among the computed polymorphs = 192.3 meV/atom

Cell: 6.0302 6.0302 6.0302 Å, 90.00 90.00 90.00°
With the nearest neighbours (Å) after each atom.
Element x y z (fractional)
Sr 0.0000 0.0000 0.0000  12 Tl 4.26
Tl 0.0000 0.5000 0.5000  2 Bi 3.02
Tl 0.5000 0.0000 0.5000  2 Bi 3.02
Tl 0.5000 0.5000 0.0000  2 Bi 3.02
Bi 0.5000 0.5000 0.5000  6 Tl 3.02

***

# 8
SrTl2Bi6: optimized geometry, PBE-GGA.

SG = C2/m, No. 12
calculated formation energy = -0.17 eV per atom

Cell: 6.7308 6.7308 6.7269 Å, 96.76 96.76 96.93°
With the nearest neighbours (Å) after each atom.
Element x y z (fractional)
Sr 0.0000 0.0000 0.0000  2 Tl 3.47, 12 Bi 3.73
Tl 0.3415 0.3415 0.3410  1 Tl 3.23, 1 Sr 3.47
Tl 0.6585 0.6585 0.6590  1 Tl 3.23, 1 Sr 3.47
Bi 0.1592 0.5003 0.8407  5 Bi 3.20-3.44
Bi 0.1592 0.8408 0.5000  5 Bi 3.21-3.43
Bi 0.5003 0.1592 0.8407  5 Bi 3.20-3.44
Bi 0.4997 0.8408 0.1593  5 Bi 3.20-3.44
Bi 0.8408 0.1592 0.5000  5 Bi 3.21-3.43
Bi 0.8408 0.4997 0.1593  5 Bi 3.20-3.44

***

# 9
SrTmTlBi: optimized geometry, PBE-GGA.

SG = F-43m, No. 216
calculated formation energy = -0.39 eV per atom

Cell: 5.6106 5.6106 5.6106 Å, 60.00 60.00 60.00°
With the nearest neighbours (Å) after each atom.
Element x y z (fractional)
Sr 0.0000 0.0000 0.0000  4 Tl 3.44, 4 Bi 3.44
Tm 0.5000 0.5000 0.5000  4 Tl 3.44, 4 Bi 3.44
Tl 0.2500 0.2500 0.2500  4 Tm 3.44, 4 Sr 3.44
Bi 0.7500 0.7500 0.7500  4 Tm 3.44, 4 Sr 3.44

***

# 10
SrTl2ZnBi2: optimized geometry, PBE-GGA.

SG = Pmc2_1, No. 26
calculated formation energy = -0.28 eV per atom

Cell: 4.8794 10.1050 7.9973 Å, 90.00 90.00 90.00°
With the nearest neighbours (Å) after each atom.
Element x y z (fractional)
Sr 0.0000 0.0423 0.0000  4 Zn 3.41-3.78, 5 Bi 3.41-3.44
Sr 0.0000 0.9577 0.5000  4 Zn 3.41-3.78, 5 Bi 3.41-3.44
Tl 0.0000 0.3563 0.3249  4 Bi 3.25-3.56, 2 Tl 3.57
Tl 0.0000 0.6437 0.8249  4 Bi 3.25-3.56, 2 Tl 3.57
Tl 0.5000 0.3956 0.0030  3 Bi 3.44-3.53, 4 Tl 3.57-3.78, 1 Zn 3.64
Tl 0.5000 0.6044 0.5030  3 Bi 3.44-3.53, 4 Tl 3.57-3.78, 1 Zn 3.64
Zn 0.5000 0.1522 0.6673  4 Bi 2.90-3.09
Zn 0.5000 0.8478 0.1673  4 Bi 2.90-3.09
Bi 0.0000 0.3007 0.7247  2 Zn 2.90, 1 Tl 3.25
Bi 0.0000 0.6993 0.2247  2 Zn 2.90, 1 Tl 3.25
Bi 0.5000 0.1250 0.2826  2 Zn 2.95-3.09
Bi 0.5000 0.8750 0.7826  2 Zn 2.95-3.09

***

# 11
SrTmBi: optimized geometry, PBE-GGA.

SG = Cmmm, No. 65
calculated formation energy = -0.36 eV per atom

Cell: 3.8979 3.8979 14.0965 Å, 90.00 90.00 90.49°
With the nearest neighbours (Å) after each atom.
Element x y z (fractional)
Sr 0.0000 0.0000 0.1610  4 Bi 3.56-3.58, 4 Sr 3.90
Sr 0.0000 0.0000 0.8390  4 Bi 3.56-3.58, 4 Sr 3.90
Tm 0.5000 0.5000 0.3752  4 Bi 3.26-3.28, 1 Tm 3.52
Tm 0.5000 0.5000 0.6248  4 Bi 3.26-3.28, 1 Tm 3.52
Bi 0.0000 0.0000 0.5000  8 Tm 3.26-3.28
Bi 0.5000 0.5000 0.0000  8 Sr 3.56-3.58, 4 Bi 3.90

***

# 12
SrTmBi: optimized geometry, PBE-GGA.

SG = P3m1, No. 156
calculated formation energy = -0.35 eV per atom

Cell: 5.2438 5.2438 4.6553 Å, 90.00 90.00 120.00°
With the nearest neighbours (Å) after each atom.
Element x y z (fractional)
Sr 0.0000 0.0000 0.0000  6 Bi 3.80-3.84, 6 Tm 3.81-3.82
Tm 0.3333 0.6667 0.5014  3 Bi 3.03
Bi 0.6667 0.3333 0.4921  3 Tm 3.03